1.
Density functional theory data (PBE-GGA) for crystalline ZnAg2Mo at its relaxed geometry.

Structure (POSCAR):
```
ZnAg2Mo
1.0
5.669 -0.001 -0.001
2.824 4.916 0.001
-3.484 -3.775 2.398
Ag Mo Zn
2 1 1
Cartesian
0.104 0.060 0.000
3.227 -0.653 1.199
4.140 2.396 0.000
1.784 1.794 1.200
```

## Properties
Magnetic moment   0.162 μB per atom
D(E_F)   2.99 states/eV/cell
E_form   0.419 eV per atom

---

2.
Density functional theory data (PBE-GGA) for crystalline BaBe3F at its relaxed geometry.

Structure (POSCAR):
```
BaBe3F
1.0
6.339 0.000 0.000
0.000 6.339 0.000
0.000 0.000 6.339
Be Ba F
3 1 1
Cartesian
0.000 3.170 0.000
0.000 0.000 3.170
3.170 0.000 0.000
0.000 0.000 0.000
3.170 3.170 3.170
```

## Properties
Magnetic moment   0.105 μB per atom
D(E_F)   3.24 states/eV/cell
ΔE_f (raw)   1.689 eV/atom
Energy above the most stable polymorph in this dataset   1.061 eV/atom

---

- The lowest D(E_F) belongs to which entry?
  ZnAg2Mo

---

- Which of these has the lowest D(E_F)?
  ZnAg2Mo

---

- Number 2 is which compound?
  BaBe3F